A relaxed structure of ScCuBr2. Source: the Alexandria database, functional GGA-PBE.

Summary:
Total energy ... -15.2 eV per cell
Space group ... I4/mmm, No. 139
Excess energy over the best structure of this formula in the dataset ... 385 meV per atom
Uncorrected formation energy ... -1.434 eV/f.u.

Structure (POSCAR):
```
ScCuBr2
1.0
5.0283 -0.0032 0.0000
0.7597 4.9706 0.0000
-2.8940 -2.4837 3.2772
Br Cu Sc
2 1 1
Cartesian
0.0000 0.0000 0.0000 Br
2.8940 2.4837 0.0000 Br
0.3799 2.4853 1.6386 Cu
2.5141 -0.0016 1.6386 Sc
```